Below is an optimized crystal structure of Y2AsH, with properties calculated at the GGA-PBE level.

Summary:
Volume   23.115 Å³/atom
Space group   R3m (160)
Energy above the lowest structure with this stoichiometry   199 meV/atom

Lattice parameters (Å, degrees): 3.898 3.898 7.378 74.68 74.68 60.00
Fractional coordinates of all 4 atoms:
H: 0.452 0.452 0.643
Y: 0.098 0.098 0.706
Y: 0.270 0.270 0.190
As: 0.680 0.680 0.961